Entry 1:
Compound: Rb2CeCl4F2
Source: Alexandria
Functional: PBE
Structure: optimized geometry

Computed properties:
DOS(E_F) (states/eV/atom): 0.000
Formation energy without anion corrections (eV per atom): -2.480

Lattice parameters (Å, degrees): 11.886 7.719 5.758 90.00 100.56 90.00
Space group C2/m (No. 12)
Unique sites:
Rb1 0.169 0.000 0.322 x4
Ce1 0.000 0.500 0.000 x2
Cl1 0.102 0.247 0.797 x8
F1 0.141 0.500 0.282 x4

---

Entry 2:
Compound: CeTl2Cl4F2
Source: Alexandria
Functional: PBE
Structure: optimized geometry

Computed properties:
Formation energy without anion corrections (eV per atom): -2.028

Lattice parameters (Å, degrees): 11.848 7.636 5.582 90.00 97.89 90.00
Space group C2/m (No. 12)
Unique sites:
Ce1 0.000 0.000 0.000 x2
Tl1 0.181 0.500 0.316 x4
Cl1 0.111 0.254 0.795 x8
F1 0.135 0.000 0.288 x4

---

Entry 3:
Compound: CeUCl2F6
Source: Alexandria
Functional: PBE
Structure: optimized geometry

Computed properties:
DOS(E_F) (states/eV/atom): 0.893
Formation energy without anion corrections (eV per atom): -3.198

Lattice parameters (Å, degrees): 5.959 5.968 5.969 71.23 71.19 71.07
Space group P-1 (No. 2)
Unique sites:
Ce1 0.000 0.000 0.000 x1
U1 0.500 0.500 0.500 x1
Cl1 0.200 0.196 0.197 x2
F1 0.258 0.261 0.677 x2
F2 0.259 0.675 0.259 x2
F3 0.322 0.742 0.740 x2